No. 1
The following is a SCAN calculation of a crystal of Cr3NF relaxed with PBEsol, from Alexandria via LeMat-Bulk.

Energy relative to the elements, uncorrected, eV/atom: 0.1756
Volume, Å³ per atom: 10.7
M_tot, μB per formula unit: 0.44

The structure in CIF format:
```
data_Cr3NF
_chemical_formula_sum 'Cr3 N1 F1'
_cell_length_a 3.7682
_cell_length_b 3.7682
_cell_length_c 3.7682
_cell_angle_alpha 90.00
_cell_angle_beta 90.00
_cell_angle_gamma 90.00
_symmetry_space_group_name_H-M 'P m -3 m'
_symmetry_Int_Tables_number 221
_symmetry_space_group_name_Hall '-P 4 2 3'
loop_
_atom_site_label
_atom_site_type_symbol
_atom_site_fract_x
_atom_site_fract_y
_atom_site_fract_z
_atom_site_occupancy
Cr1 Cr 0.0000 0.0000 0.5000 1
N1 N 0.0000 0.0000 0.0000 1
F1 F 0.5000 0.5000 0.5000 1
```

***

No. 2
The following is a SCAN calculation of a crystal of Mn2MoPt relaxed with PBEsol, from Alexandria via LeMat-Bulk.

Volume, Å³ per atom: 12.8
M_tot, μB per formula unit: 3.91
Electronic total energy, Ry per atom: -2.62347

The structure in CIF format:
```
data_Mn2MoPt
_chemical_formula_sum 'Mn2 Mo1 Pt1'
_cell_length_a 3.7883
_cell_length_b 3.7883
_cell_length_c 3.5799
_cell_angle_alpha 90.00
_cell_angle_beta 90.00
_cell_angle_gamma 90.00
_symmetry_space_group_name_H-M 'P 4/m m m'
_symmetry_Int_Tables_number 123
_symmetry_space_group_name_Hall '-P 4 2'
loop_
_atom_site_label
_atom_site_type_symbol
_atom_site_fract_x
_atom_site_fract_y
_atom_site_fract_z
_atom_site_occupancy
Mn1 Mn 0.0000 0.5000 0.0000 1
Mo1 Mo 0.0000 0.0000 0.5000 1
Pt1 Pt 0.5000 0.5000 0.5000 1
```

***

No. 3
The following is a SCAN calculation of a crystal of SrMn2FeN relaxed with PBEsol, from Alexandria via LeMat-Bulk.

Energy relative to the elements, uncorrected, eV/atom: 1.2644
Volume, Å³ per atom: 20.2
M_tot, μB per formula unit: 7.18

The structure in CIF format:
```
data_SrMn2FeN
_chemical_formula_sum 'Sr1 Mn2 Fe1 N1'
_cell_length_a 4.0699
_cell_length_b 4.0699
_cell_length_c 6.1066
_cell_angle_alpha 90.00
_cell_angle_beta 90.00
_cell_angle_gamma 90.00
_symmetry_space_group_name_H-M 'P 4/m m m'
_symmetry_Int_Tables_number 123
_symmetry_space_group_name_Hall '-P 4 2'
loop_
_atom_site_label
_atom_site_type_symbol
_atom_site_fract_x
_atom_site_fract_y
_atom_site_fract_z
_atom_site_occupancy
Sr1 Sr 0.0000 0.0000 0.0000 1
Mn1 Mn 0.0000 0.5000 0.5000 1
Fe1 Fe 0.0000 0.0000 0.5000 1
N1 N 0.5000 0.5000 0.0000 1
```

***

No. 4
The following is a SCAN calculation of a crystal of BeSiSb2 relaxed with PBEsol, from Alexandria via LeMat-Bulk.

Energy relative to the elements, uncorrected, eV/atom: 0.6787
Volume, Å³ per atom: 19.8
M_tot, μB per formula unit: 0.00

The structure in CIF format:
```
data_BeSiSb2
_chemical_formula_sum 'Be2 Si2 Sb4'
_cell_length_a 3.8317
_cell_length_b 5.4042
_cell_length_c 7.6644
_cell_angle_alpha 90.00
_cell_angle_beta 90.00
_cell_angle_gamma 90.00
_symmetry_space_group_name_H-M 'C m m m'
_symmetry_Int_Tables_number 65
_symmetry_space_group_name_Hall '-C 2 2'
loop_
_atom_site_label
_atom_site_type_symbol
_atom_site_fract_x
_atom_site_fract_y
_atom_site_fract_z
_atom_site_occupancy
Be1 Be 0.0000 0.0000 0.0000 1
Si1 Si 0.0000 0.0000 0.5000 1
Sb1 Sb 0.0000 0.5000 0.2251 1
```

***

No. 5
The following is a SCAN calculation of a crystal of Li2HfOsPt relaxed with PBEsol, from Alexandria via LeMat-Bulk.

Volume, Å³ per atom: 18.4
M_tot, μB per formula unit: 0.00
Electronic total energy, Ry per atom: -3.02982

The structure in CIF format:
```
data_Li2HfOsPt
_chemical_formula_sum 'Li2 Hf1 Os1 Pt1'
_cell_length_a 4.3610
_cell_length_b 4.3610
_cell_length_c 4.8408
_cell_angle_alpha 90.00
_cell_angle_beta 90.00
_cell_angle_gamma 90.00
_symmetry_space_group_name_H-M 'P 4/m m m'
_symmetry_Int_Tables_number 123
_symmetry_space_group_name_Hall '-P 4 2'
loop_
_atom_site_label
_atom_site_type_symbol
_atom_site_fract_x
_atom_site_fract_y
_atom_site_fract_z
_atom_site_occupancy
Li1 Li 0.0000 0.5000 0.0000 1
Hf1 Hf 0.0000 0.0000 0.5000 1
Os1 Os 0.0000 0.0000 0.0000 1
Pt1 Pt 0.5000 0.5000 0.5000 1
```

***

No. 6
The following is a SCAN calculation of a crystal of KAl2Tc relaxed with PBEsol, from Alexandria via LeMat-Bulk.

Volume, Å³ per atom: 20.5
M_tot, μB per formula unit: 1.63
ΔE to the lowest computed polymorph, eV per atom: 0.000

The structure in CIF format:
```
data_KAl2Tc
_chemical_formula_sum 'K1 Al2 Tc1'
_cell_length_a 3.1631
_cell_length_b 3.1631
_cell_length_c 8.2154
_cell_angle_alpha 90.00
_cell_angle_beta 90.00
_cell_angle_gamma 90.00
_symmetry_space_group_name_H-M 'P 4/m m m'
_symmetry_Int_Tables_number 123
_symmetry_space_group_name_Hall '-P 4 2'
loop_
_atom_site_label
_atom_site_type_symbol
_atom_site_fract_x
_atom_site_fract_y
_atom_site_fract_z
_atom_site_occupancy
K1 K 0.0000 0.0000 0.0000 1
Al1 Al 0.5000 0.5000 0.3409 1
Tc1 Tc 0.0000 0.0000 0.5000 1
```